1.
LiLaEr2Pd4 | PBE-GGA | optimized geometry

Lattice parameters (Å, degrees): 4.8216 4.8216 8.7954 74.09 74.09 60.00
Element x y z (fractional)
1 Li 0.5000 0.5000 0.5000
2 Pd 0.1221 0.1221 0.6336
3 Pd 0.3927 0.3927 0.8218
4 Pd 0.8779 0.8779 0.3664
5 Pd 0.6073 0.6073 0.1782
6 Er 0.2349 0.2349 0.2954
7 Er 0.7651 0.7651 0.7046
8 La 0.0000 0.0000 0.0000

## Properties
The value obtained for the mass density is 8.96 g cm⁻³. The calculation puts the calculated total energy at -42.9 eV per cell. As for the space group: R-3m (166). As for the energy of formation from the pure elements: -0.7665 eV per atom.

2.
Na3ReS | PBE-GGA | optimized geometry

Lattice parameters (Å, degrees): 5.2671 5.2671 5.2671 90.00 90.00 90.00
Each line ends with the local moment (μB).
Element x y z (fractional)
1 S 0.0000 0.0000 0.0000  0.02
2 Na 0.5000 0.0000 0.0000  0.00
3 Na 0.0000 0.5000 0.0000  0.00
4 Na 0.0000 0.0000 0.5000  0.00
5 Re 0.5000 0.5000 0.5000  3.36

## Properties
The value obtained for the mass density is 3.26 g cm⁻³. The calculation puts the calculated total energy at -17.0 eV per cell. As for the formation energy without anion corrections: 69.00 kJ per mole of atoms. As for the space group: Pm-3m (221). For the energy above the lowest structure with this stoichiometry, the calculation gives 0 meV per atom.

3.
Tl2InGaAu6 | PBE-GGA | optimized geometry

Lattice parameters (Å, degrees): 7.0456 7.8624 8.5887 90.00 90.00 90.00
Element x y z (fractional)
1 Ga 0.5000 0.2663 0.5000
2 Ga 0.0000 0.7337 0.0000
3 Au 0.0000 0.9543 0.7681
4 Au 0.7914 0.0604 0.5000
5 Au 0.5000 0.0457 0.2681
6 Au 0.7040 0.5526 0.0000
7 Au 0.7086 0.9396 0.0000
8 Au 0.0000 0.9543 0.2319
9 Au 0.2960 0.5526 0.0000
10 Au 0.2914 0.9396 0.0000
11 Au 0.2040 0.4474 0.5000
12 Au 0.5000 0.0457 0.7319
13 Au 0.7960 0.4474 0.5000
14 Au 0.2086 0.0604 0.5000
15 Tl 0.5000 0.6667 0.3000
16 Tl 0.0000 0.3333 0.8000
17 Tl 0.0000 0.3333 0.2000
18 Tl 0.5000 0.6667 0.7000
19 In 0.0000 0.7469 0.5000
20 In 0.5000 0.2531 0.0000

## Properties
The value obtained for the mass density is 12.39 g cm⁻³. The calculation puts the calculated total energy at -61.4 eV per cell. As for the space group: Pmmn (59). As for the energy of formation from the pure elements: -0.0551 eV per atom.

4.
CoTcB4 | PBE-GGA | optimized geometry

Lattice parameters (Å, degrees): 2.9797 6.2470 10.6708 90.00 90.00 90.00
Element x y z (fractional)
1 B 0.5000 0.6419 0.5281
2 B 0.5000 0.0064 0.2940
3 B 0.5000 0.5064 0.2060
4 B 0.5000 0.6163 0.9379
5 B 0.5000 0.8837 0.4379
6 B 0.5000 0.3581 0.4719
7 B 0.5000 0.1419 0.9719
8 B 0.5000 0.8581 0.0281
9 B 0.5000 0.7889 0.2004
10 B 0.5000 0.2111 0.7996
11 B 0.5000 0.2889 0.2996
12 B 0.5000 0.3837 0.0621
13 B 0.5000 0.1163 0.5621
14 B 0.5000 0.4936 0.7940
15 B 0.5000 0.9936 0.7060
16 B 0.5000 0.7111 0.7004
17 Tc 0.0000 0.0634 0.1307
18 Tc 0.0000 0.5634 0.3693
19 Tc 0.0000 0.9366 0.8693
20 Tc 0.0000 0.4366 0.6307
21 Co 0.0000 0.3570 0.9143
22 Co 0.0000 0.6430 0.0857
23 Co 0.0000 0.1430 0.4143
24 Co 0.0000 0.8570 0.5857

## Properties
The value obtained for the mass density is 6.69 g cm⁻³. The calculation puts the calculated total energy at -177.0 eV per cell. As for the space group: Pbam (55). As for the energy of formation from the pure elements: -0.0109 eV per atom.

5.
Na2PmZnSb2 | PBE-GGA | optimized geometry

Lattice parameters (Å, degrees): 4.5698 8.0616 8.9184 90.00 90.00 90.00
Element x y z (fractional)
1 Na 0.0000 0.3538 0.1510
2 Na 0.5000 0.0264 0.0923
3 Na 0.0000 0.8538 0.8490
4 Na 0.5000 0.5264 0.9077
5 Pm 0.0000 0.5017 0.5262
6 Pm 0.0000 0.0017 0.4738
7 Zn 0.5000 0.1513 0.6770
8 Zn 0.5000 0.6513 0.3230
9 Sb 0.0000 0.7485 0.1847
10 Sb 0.5000 0.7639 0.6211
11 Sb 0.5000 0.2639 0.3789
12 Sb 0.0000 0.2485 0.8153

## Properties
The value obtained for the mass density is 5.05 g cm⁻³. The calculation puts the calculated total energy at -40.4 eV per cell. As for the formation energy without anion corrections: -52.57 kJ per mole of atoms. As for the space group: Pmc2_1 (26).

6.
Pm3Sm8Dy | PBE-GGA | optimized geometry

Lattice parameters (Å, degrees): 8.9850 9.0059 8.9850 74.85 121.20 137.92
Element x y z (fractional)
1 Sm 0.3198 0.3887 0.6793
2 Sm 0.8238 0.1522 0.1670
3 Sm 0.9090 0.5699 0.9978
4 Sm 0.2907 0.6113 0.9311
5 Sm 0.0148 0.8478 0.6716
6 Sm 0.9227 0.8245 0.2364
7 Sm 0.4118 0.1755 0.0982
8 Sm 0.4279 0.4301 0.3391
9 Pm 0.5152 0.8616 0.3999
10 Pm 0.5383 0.1384 0.6536
11 Pm 0.9713 0.5000 0.4713
12 Dy 0.8547 0.0000 0.8547

## Properties
The value obtained for the mass density is 7.34 g cm⁻³. The calculation puts the calculated total energy at -55.2 eV per cell. As for the space group: C2 (5). As for the energy of formation from the pure elements: 0.1144 eV per atom.

7.
Re3BAu | PBE-GGA | optimized geometry

Lattice parameters (Å, degrees): 4.1459 4.1459 4.1459 90.00 90.00 90.00
Element x y z (fractional)
1 Re 0.0000 0.5000 0.0000
2 Re 0.5000 0.0000 0.0000
3 Re 0.0000 0.0000 0.5000
4 Au 0.5000 0.5000 0.5000
5 B 0.0000 0.0000 0.0000

## Properties
The value obtained for the mass density is 17.86 g cm⁻³. The calculation puts the calculated total energy at -45.0 eV per cell. As for the space group: Pm-3m (221). For the energy above the lowest structure with this stoichiometry, the calculation gives 0 meV per atom. As for the energy of formation from the pure elements: 0.4641 eV per atom.

8.
SiPbSe2N | PBE-GGA | optimized geometry

Lattice parameters (Å, degrees): 5.6960 5.6960 3.3189 90.00 90.00 90.00
Element x y z (fractional)
1 N 0.0000 0.0000 0.5000
2 Pb 0.5000 0.5000 0.5000
3 Se 0.5000 0.0000 0.0000
4 Se 0.0000 0.5000 0.0000
5 Si 0.0000 0.0000 0.0000

## Properties
The value obtained for the mass density is 6.28 g cm⁻³. The calculation puts the calculated total energy at -24.1 eV per cell. As for the formation energy without anion corrections: 5.32 kJ per mole of atoms. As for the space group: P4/mmm (123). For the energy above the lowest structure with this stoichiometry, the calculation gives 0 meV per atom.

> Among the records above, which one has the highest mass density?

Re3BAu

Please write out number 8 again, unchanged.
SiPbSe2N | PBE-GGA | optimized geometry

Lattice parameters (Å, degrees): 5.6960 5.6960 3.3189 90.00 90.00 90.00
Element x y z (fractional)
1 N 0.0000 0.0000 0.5000
2 Pb 0.5000 0.5000 0.5000
3 Se 0.5000 0.0000 0.0000
4 Se 0.0000 0.5000 0.0000
5 Si 0.0000 0.0000 0.0000

## Properties
The value obtained for the mass density is 6.28 g cm⁻³. The calculation puts the calculated total energy at -24.1 eV per cell. As for the formation energy without anion corrections: 5.32 kJ per mole of atoms. As for the space group: P4/mmm (123). For the energy above the lowest structure with this stoichiometry, the calculation gives 0 meV per atom.